Below is LaNdO after structural relaxation, with properties calculated at the PBE level.

```
LaNdO
1.0
-0.041 2.313 2.946
-2.924 -2.247 -0.657
2.588 -4.386 3.480
La Nd O
1 1 1
Direct
0.000 0.000 0.110
0.333 0.667 0.557
0.667 0.333 0.334
```

Summary:
VASP energy ... -6.588 eV/atom
Symmetry ... P3m1, No. 156
E above lowest polymorph ... 54 meV per atom

---

Below is ErAgSn2Te4 after structural relaxation, with properties calculated at the PBE level.

```
ErAgSn2Te4
1.0
-2.282 -3.508 1.434
1.987 -3.869 -6.301
5.293 -1.164 5.576
Te Ag Sn Er
4 1 2 1
Direct
0.000 0.257 0.760
0.500 0.756 0.768
0.500 0.244 0.232
0.000 0.743 0.240
0.000 0.000 0.000
0.000 0.500 0.500
0.500 0.000 0.500
0.500 0.500 0.000
```

Summary:
VASP energy ... -4.020 eV/atom
Symmetry ... P2/m, No. 10

---

> Which value of VASP energy does entry 1 give?

-6.588 eV/atom

---

> Among the records above, which one has the lowest VASP energy?

LaNdO

---

Please write out number 2 again, unchanged.
Below is ErAgSn2Te4 after structural relaxation, with properties calculated at the PBE level.

```
ErAgSn2Te4
1.0
-2.282 -3.508 1.434
1.987 -3.869 -6.301
5.293 -1.164 5.576
Te Ag Sn Er
4 1 2 1
Direct
0.000 0.257 0.760
0.500 0.756 0.768
0.500 0.244 0.232
0.000 0.743 0.240
0.000 0.000 0.000
0.000 0.500 0.500
0.500 0.000 0.500
0.500 0.500 0.000
```

Summary:
VASP energy ... -4.020 eV/atom
Symmetry ... P2/m, No. 10

---

> What is the VASP energy in the second record?

-4.020 eV/atom